(1)
Here is crystalline Cs2MnSeBr6 at its relaxed geometry from the Alexandria database. Energies are from GGA-PBE.

a = 7.967 Å, b = 7.967 Å, c = 7.967 Å
α = 118.74°, β = 118.74°, γ = 92.19°
Fractional coordinates of all 10 atoms:
Cs1 0.250 0.750 0.500
Cs2 0.750 0.250 0.500
Mn1 0.000 0.000 0.000
Se1 0.500 0.500 0.000
Br1 0.215 0.215 0.430
Br2 0.215 0.785 0.000
Br3 0.267 0.267 0.000
Br4 0.733 0.733 0.000
Br5 0.785 0.215 0.000
Br6 0.785 0.785 0.570

Results
Spin magnetization (μB per atom): 0.500
Final energy (eV/cell): -33.78
Crystal system: tetragonal

***

(2)
Here is crystalline CsMnSeBr6 at its relaxed geometry from the Alexandria database. Energies are from GGA-PBE.

a = 7.207 Å, b = 7.728 Å, c = 8.396 Å
α = 113.85°, β = 94.28°, γ = 108.90°
Fractional coordinates of all 9 atoms:
Cs1 0.000 0.000 0.000
Mn1 0.595 0.281 0.480
Se1 0.139 0.279 0.713
Br1 0.114 0.518 0.000
Br2 0.254 0.023 0.417
Br3 0.548 0.476 0.782
Br4 0.567 0.147 0.161
Br5 0.765 0.061 0.573
Br6 0.894 0.566 0.538

Results
Spin magnetization (μB per atom): 0.438
Final energy (eV/cell): -30.07
Crystal system: triclinic

***

(3)
Here is crystalline Cs2MnSiBr at its relaxed geometry from the Alexandria database. Energies are from GGA-PBE.

a = 7.167 Å, b = 7.167 Å, c = 5.061 Å
α = 90.00°, β = 90.00°, γ = 90.00°
Fractional coordinates of all 5 atoms:
Cs1 0.000 0.500 0.000
Cs2 0.500 0.000 0.000
Mn1 0.000 0.000 0.000
Si1 0.500 0.500 0.500
Br1 0.000 0.000 0.500

Results
Spin magnetization (μB per atom): 1.386
Final energy (eV/cell): -15.50
Crystal system: tetragonal

***

(4)
Here is crystalline CsSmMnBr6 at its relaxed geometry from the Alexandria database. Energies are from GGA-PBE.

a = 7.298 Å, b = 7.298 Å, c = 8.112 Å
α = 90.06°, β = 90.06°, γ = 120.07°
Fractional coordinates of all 9 atoms:
Cs1 0.000 0.000 0.000
Sm1 0.333 0.667 0.500
Mn1 0.666 0.334 0.500
Br1 0.386 0.015 0.301
Br2 0.387 0.371 0.699
Br3 0.629 0.613 0.301
Br4 0.630 0.017 0.699
Br5 0.983 0.370 0.301
Br6 0.985 0.614 0.699

Results
Spin magnetization (μB per atom): 0.556
Final energy (eV/cell): -38.44
Crystal system: monoclinic

***

(5)
Here is crystalline Cs3Mn2SnBr9 at its relaxed geometry from the Alexandria database. Energies are from GGA-PBE.

a = 7.886 Å, b = 7.886 Å, c = 9.697 Å
α = 90.00°, β = 90.00°, γ = 120.00°
Fractional coordinates of all 15 atoms:
Cs1 0.000 0.000 0.000
Cs2 0.333 0.667 0.670
Cs3 0.667 0.333 0.330
Mn1 0.333 0.667 0.156
Mn2 0.667 0.333 0.844
Sn1 0.000 0.000 0.500
Br1 0.000 0.500 0.000
Br2 0.175 0.349 0.320
Br3 0.175 0.825 0.320
Br4 0.349 0.175 0.680
Br5 0.500 0.000 0.000
Br6 0.500 0.500 0.000
Br7 0.651 0.825 0.320
Br8 0.825 0.175 0.680
Br9 0.825 0.651 0.680

Results
Spin magnetization (μB per atom): 0.667
Final energy (eV/cell): -57.98
Crystal system: trigonal

***

(6)
Here is crystalline Cs4MnSn3Br12 at its relaxed geometry from the Alexandria database. Energies are from GGA-PBE.

a = 10.013 Å, b = 10.013 Å, c = 10.013 Å
α = 109.47°, β = 109.47°, γ = 109.47°
Fractional coordinates of all 20 atoms:
Cs1 0.000 0.000 0.500
Cs2 0.000 0.500 0.000
Cs3 0.500 0.000 0.000
Cs4 0.500 0.500 0.500
Mn1 0.000 0.000 0.000
Sn1 0.000 0.500 0.500
Sn2 0.500 0.000 0.500
Sn3 0.500 0.500 0.000
Br1 0.000 0.237 0.237
Br2 0.000 0.763 0.763
Br3 0.237 0.000 0.237
Br4 0.237 0.237 0.000
Br5 0.250 0.500 0.750
Br6 0.250 0.750 0.500
Br7 0.500 0.250 0.750
Br8 0.500 0.750 0.250
Br9 0.750 0.250 0.500
Br10 0.750 0.500 0.250
Br11 0.763 0.000 0.763
Br12 0.763 0.763 0.000

Results
Spin magnetization (μB per atom): 0.250
Final energy (eV/cell): -68.81
Crystal system: cubic

***

(7)
Here is crystalline Cs4Mn3SnBr12 at its relaxed geometry from the Alexandria database. Energies are from GGA-PBE.

a = 9.620 Å, b = 9.620 Å, c = 9.620 Å
α = 109.47°, β = 109.47°, γ = 109.47°
Fractional coordinates of all 20 atoms:
Cs1 0.000 0.000 0.500
Cs2 0.000 0.500 0.000
Cs3 0.500 0.000 0.000
Cs4 0.500 0.500 0.500
Mn1 0.000 0.500 0.500
Mn2 0.500 0.000 0.500
Mn3 0.500 0.500 0.000
Sn1 0.000 0.000 0.000
Br1 0.000 0.264 0.264
Br2 0.000 0.736 0.736
Br3 0.250 0.500 0.750
Br4 0.250 0.750 0.500
Br5 0.264 0.000 0.264
Br6 0.264 0.264 0.000
Br7 0.500 0.250 0.750
Br8 0.500 0.750 0.250
Br9 0.736 0.000 0.736
Br10 0.736 0.736 0.000
Br11 0.750 0.250 0.500
Br12 0.750 0.500 0.250

Results
Spin magnetization (μB per atom): 0.750
Final energy (eV/cell): -78.91
Crystal system: cubic

***

(8)
Here is crystalline Cs2SrMnBr6 at its relaxed geometry from the Alexandria database. Energies are from GGA-PBE.

a = 7.976 Å, b = 7.976 Å, c = 7.341 Å
α = 90.00°, β = 90.00°, γ = 120.00°
Fractional coordinates of all 10 atoms:
Cs1 0.333 0.667 0.181
Cs2 0.667 0.333 0.819
Sr1 0.000 0.000 0.500
Mn1 0.000 0.000 0.000
Br1 0.160 0.321 0.782
Br2 0.160 0.840 0.782
Br3 0.321 0.160 0.218
Br4 0.679 0.840 0.782
Br5 0.840 0.160 0.218
Br6 0.840 0.679 0.218

Results
Spin magnetization (μB per atom): 0.500
Excess energy over the best structure of this formula in the dataset (eV per atom): 0.000
Crystal system: trigonal

***

(9)
Here is crystalline Cs2SrMnBr6 at its relaxed geometry from the Alexandria database. Energies are from GGA-PBE.

a = 8.086 Å, b = 8.086 Å, c = 8.086 Å
α = 60.00°, β = 60.00°, γ = 60.00°
Fractional coordinates of all 10 atoms:
Cs1 0.250 0.250 0.250
Cs2 0.750 0.750 0.750
Sr1 0.000 0.000 0.000
Mn1 0.500 0.500 0.500
Br1 0.264 0.264 0.736
Br2 0.264 0.736 0.264
Br3 0.264 0.736 0.736
Br4 0.736 0.264 0.264
Br5 0.736 0.264 0.736
Br6 0.736 0.736 0.264

Results
Spin magnetization (μB per atom): 0.500
Excess energy over the best structure of this formula in the dataset (eV per atom): 0.003
Crystal system: cubic

***

(10)
Here is crystalline CsSrMnBr5 at its relaxed geometry from the Alexandria database. Energies are from GGA-PBE.

a = 8.394 Å, b = 8.394 Å, c = 10.939 Å
α = 103.78°, β = 103.78°, γ = 106.82°
Fractional coordinates of all 16 atoms:
Cs1 0.155 0.845 0.750
Cs2 0.845 0.155 0.250
Sr1 0.500 0.500 0.000
Sr2 0.500 0.500 0.500
Mn1 0.186 0.814 0.250
Mn2 0.814 0.186 0.750
Br1 0.104 0.252 0.924
Br2 0.183 0.603 0.380
Br3 0.252 0.104 0.424
Br4 0.397 0.817 0.120
Br5 0.416 0.584 0.750
Br6 0.584 0.416 0.250
Br7 0.603 0.183 0.880
Br8 0.748 0.896 0.576
Br9 0.817 0.397 0.620
Br10 0.896 0.748 0.076

Results
Spin magnetization (μB per atom): 0.625
Final energy (eV/cell): -64.91
Crystal system: monoclinic

***

(11)
Here is crystalline CsSr2MnBr8 at its relaxed geometry from the Alexandria database. Energies are from GGA-PBE.

a = 6.901 Å, b = 7.188 Å, c = 9.466 Å
α = 89.88°, β = 89.84°, γ = 87.45°
Fractional coordinates of all 12 atoms:
Cs1 0.000 0.000 0.000
Sr1 0.499 0.500 0.267
Sr2 0.501 0.500 0.733
Mn1 0.000 0.000 0.500
Br1 0.211 0.856 0.682
Br2 0.213 0.858 0.318
Br3 0.259 0.327 0.501
Br4 0.267 0.404 0.000
Br5 0.733 0.596 0.000
Br6 0.741 0.673 0.499
Br7 0.787 0.142 0.682
Br8 0.789 0.144 0.318

Results
Spin magnetization (μB per atom): 0.332
Final energy (eV/cell): -44.81
Crystal system: triclinic

***

(12)
Here is crystalline Cs3SrMn2Br9 at its relaxed geometry from the Alexandria database. Energies are from GGA-PBE.

a = 7.937 Å, b = 7.937 Å, c = 9.797 Å
α = 90.00°, β = 90.00°, γ = 120.00°
Fractional coordinates of all 15 atoms:
Cs1 0.000 0.000 0.000
Cs2 0.333 0.667 0.678
Cs3 0.667 0.333 0.322
Sr1 0.000 0.000 0.500
Mn1 0.333 0.667 0.156
Mn2 0.667 0.333 0.844
Br1 0.000 0.500 0.000
Br2 0.176 0.352 0.317
Br3 0.176 0.824 0.317
Br4 0.352 0.176 0.683
Br5 0.500 0.000 0.000
Br6 0.500 0.500 0.000
Br7 0.648 0.824 0.317
Br8 0.824 0.176 0.683
Br9 0.824 0.648 0.683

Results
Spin magnetization (μB per atom): 0.667
Final energy (eV/cell): -59.52
Crystal system: trigonal

***

(13)
Here is crystalline CsTbMn2Br8 at its relaxed geometry from the Alexandria database. Energies are from GGA-PBE.

a = 11.869 Å, b = 11.869 Å, c = 11.869 Å
α = 33.63°, β = 33.63°, γ = 33.63°
Fractional coordinates of all 12 atoms:
Cs1 0.000 0.000 0.000
Tb1 0.500 0.500 0.500
Mn1 0.245 0.245 0.245
Mn2 0.755 0.755 0.755
Br1 0.134 0.433 0.770
Br2 0.230 0.567 0.866
Br3 0.317 0.317 0.317
Br4 0.433 0.770 0.134
Br5 0.567 0.866 0.230
Br6 0.683 0.683 0.683
Br7 0.770 0.134 0.433
Br8 0.866 0.230 0.567

Results
Spin magnetization (μB per atom): 0.833
Final energy (eV/cell): -52.54
Crystal system: trigonal

***

(14)
Here is crystalline CsTiMnBr6 at its relaxed geometry from the Alexandria database. Energies are from GGA-PBE.

a = 6.935 Å, b = 6.935 Å, c = 8.166 Å
α = 90.11°, β = 90.11°, γ = 119.93°
Fractional coordinates of all 9 atoms:
Cs1 0.000 0.000 0.000
Ti1 0.667 0.333 0.500
Mn1 0.333 0.667 0.500
Br1 0.380 0.010 0.684
Br2 0.383 0.374 0.314
Br3 0.626 0.617 0.686
Br4 0.627 0.010 0.315
Br5 0.990 0.373 0.685
Br6 0.990 0.620 0.316

Results
Spin magnetization (μB per atom): 0.667
Final energy (eV/cell): -38.72
Crystal system: monoclinic

***

(15)
Here is crystalline CsTiMnBr2 at its relaxed geometry from the Alexandria database. Energies are from GGA-PBE.

a = 5.526 Å, b = 5.526 Å, c = 5.031 Å
α = 90.00°, β = 90.00°, γ = 90.00°
Fractional coordinates of all 5 atoms:
Cs1 0.000 0.000 0.000
Ti1 0.500 0.500 0.500
Mn1 0.500 0.500 0.000
Br1 0.000 0.500 0.500
Br2 0.500 0.000 0.500

Results
Spin magnetization (μB per atom): 0.401
Final energy (eV/cell): -22.79
Crystal system: tetragonal

***

(16)
Here is crystalline CsMn2TlBr8 at its relaxed geometry from the Alexandria database. Energies are from GGA-PBE.

a = 7.158 Å, b = 7.158 Å, c = 10.399 Å
α = 90.00°, β = 90.00°, γ = 120.00°
Fractional coordinates of all 12 atoms:
Cs1 0.000 0.000 0.000
Mn1 0.333 0.667 0.758
Mn2 0.667 0.333 0.242
Tl1 0.000 0.000 0.500
Br1 0.010 0.347 0.693
Br2 0.333 0.667 0.986
Br3 0.337 0.990 0.693
Br4 0.347 0.337 0.307
Br5 0.653 0.663 0.693
Br6 0.663 0.010 0.307
Br7 0.667 0.333 0.014
Br8 0.990 0.653 0.307

Results
Spin magnetization (μB per atom): 0.667
Final energy (eV/cell): -45.12
Crystal system: trigonal

***

(17)
Here is crystalline CsMnTl2Br5 at its relaxed geometry from the Alexandria database. Energies are from GGA-PBE.

a = 10.121 Å, b = 10.121 Å, c = 10.121 Å
α = 126.09°, β = 126.09°, γ = 79.74°
Fractional coordinates of all 18 atoms:
Cs1 0.250 0.250 0.000
Cs2 0.750 0.750 0.000
Mn1 0.250 0.750 0.500
Mn2 0.750 0.250 0.500
Tl1 0.164 0.664 0.829
Tl2 0.336 0.164 0.500
Tl3 0.664 0.836 0.500
Tl4 0.836 0.336 0.171
Br1 0.000 0.000 0.000
Br2 0.000 0.203 0.500
Br3 0.000 0.797 0.500
Br4 0.203 0.703 0.203
Br5 0.297 0.500 0.500
Br6 0.500 0.000 0.203
Br7 0.500 0.000 0.797
Br8 0.500 0.500 0.000
Br9 0.703 0.500 0.500
Br10 0.797 0.297 0.797

Results
Spin magnetization (μB per atom): 0.555
Final energy (eV/cell): -65.41
Crystal system: tetragonal

***

(18)
Here is crystalline Cs3Mn2TlBr8 at its relaxed geometry from the Alexandria database. Energies are from GGA-PBE.

a = 8.231 Å, b = 8.231 Å, c = 10.317 Å
α = 90.00°, β = 90.00°, γ = 120.00°
Fractional coordinates of all 14 atoms:
Cs1 0.000 0.000 0.000
Cs2 0.333 0.667 0.623
Cs3 0.667 0.333 0.377
Mn1 0.333 0.667 0.198
Mn2 0.667 0.333 0.802
Tl1 0.000 0.000 0.500
Br1 0.173 0.346 0.300
Br2 0.173 0.827 0.300
Br3 0.333 0.667 0.963
Br4 0.346 0.173 0.700
Br5 0.654 0.827 0.300
Br6 0.667 0.333 0.037
Br7 0.827 0.173 0.700
Br8 0.827 0.654 0.700

Results
Spin magnetization (μB per atom): 0.714
Final energy (eV/cell): -54.13
Crystal system: trigonal

***

(19)
Here is crystalline Cs3Mn2TlBr9 at its relaxed geometry from the Alexandria database. Energies are from GGA-PBE.

a = 7.865 Å, b = 7.865 Å, c = 9.883 Å
α = 90.00°, β = 90.00°, γ = 120.00°
Fractional coordinates of all 15 atoms:
Cs1 0.000 0.000 0.000
Cs2 0.333 0.667 0.675
Cs3 0.667 0.333 0.325
Mn1 0.333 0.667 0.157
Mn2 0.667 0.333 0.843
Tl1 0.000 0.000 0.500
Br1 0.000 0.500 0.000
Br2 0.178 0.357 0.305
Br3 0.178 0.822 0.305
Br4 0.357 0.178 0.695
Br5 0.500 0.000 0.000
Br6 0.500 0.500 0.000
Br7 0.643 0.822 0.305
Br8 0.822 0.178 0.695
Br9 0.822 0.643 0.695

Results
Spin magnetization (μB per atom): 0.600
Final energy (eV/cell): -56.07
Crystal system: trigonal

***

(20)
Here is crystalline Cs4Mn3TlBr12 at its relaxed geometry from the Alexandria database. Energies are from GGA-PBE.

a = 9.677 Å, b = 9.677 Å, c = 9.677 Å
α = 109.47°, β = 109.47°, γ = 109.47°
Fractional coordinates of all 20 atoms:
Cs1 0.000 0.000 0.500
Cs2 0.000 0.500 0.000
Cs3 0.500 0.000 0.000
Cs4 0.500 0.500 0.500
Mn1 0.000 0.500 0.500
Mn2 0.500 0.000 0.500
Mn3 0.500 0.500 0.000
Tl1 0.000 0.000 0.000
Br1 0.000 0.277 0.277
Br2 0.000 0.723 0.723
Br3 0.250 0.500 0.750
Br4 0.250 0.750 0.500
Br5 0.277 0.000 0.277
Br6 0.277 0.277 0.000
Br7 0.500 0.250 0.750
Br8 0.500 0.750 0.250
Br9 0.723 0.000 0.723
Br10 0.723 0.723 0.000
Br11 0.750 0.250 0.500
Br12 0.750 0.500 0.250

Results
Spin magnetization (μB per atom): 0.700
Final energy (eV/cell): -77.08
Crystal system: cubic